Entry 1:
! TlCuMo2As, optimized geometry, DFT GGA-PBEsol; values from VASP
! total magnetic moment	5.32	μB/f.u.
! Fermi-level density of states	1.8	states/eV/f.u.
! space-group type	No. 123
! DFT formation energy	2.16	eV/atom
&SYSTEM
  ibrav = 0, nat = 5, ntyp = 4
/
ATOMIC_SPECIES
As 74.92 As.upf
Tl 204.38 Tl.upf
Mo 95.94 Mo.upf
Cu 63.55 Cu.upf
CELL_PARAMETERS angstrom
4.586 0.000 0.000
0.000 5.118 0.000
0.000 0.000 5.118
ATOMIC_POSITIONS angstrom
As 2.293 2.559 2.559
Tl 0.000 0.000 0.000
Mo 0.000 2.559 0.000
Mo 0.000 0.000 2.559
Cu 2.293 0.000 0.000

=====

Entry 2:
! CaLa3Ge, optimized geometry, DFT GGA-PBEsol; values from VASP
! total magnetic moment	0.00	μB/f.u.
! Fermi-level density of states	4.1	states/eV/f.u.
! space-group type	No. 221
! DFT formation energy	0.82	eV/atom
&SYSTEM
  ibrav = 0, nat = 5, ntyp = 3
/
ATOMIC_SPECIES
La 138.91 La.upf
Ca 40.08 Ca.upf
Ge 72.64 Ge.upf
CELL_PARAMETERS angstrom
5.484 0.000 0.000
0.000 5.484 0.000
0.000 0.000 5.484
ATOMIC_POSITIONS angstrom
La 0.000 0.000 2.742
La 0.000 2.742 0.000
La 2.742 0.000 0.000
Ca 0.000 0.000 0.000
Ge 2.742 2.742 2.742

=====

Entry 3:
! BaAgCl2, optimized geometry, DFT GGA-PBEsol; values from VASP
! total magnetic moment	0.81	μB/f.u.
! Fermi-level density of states	2.6	states/eV/f.u.
! space-group type	No. 166
! total energy	-3.655	eV/atom
&SYSTEM
  ibrav = 0, nat = 4, ntyp = 3
/
ATOMIC_SPECIES
Cl 35.45 Cl.upf
Ba 137.33 Ba.upf
Ag 107.87 Ag.upf
CELL_PARAMETERS angstrom
5.232 0.000 0.000
2.616 4.531 0.000
2.616 1.510 4.281
ATOMIC_POSITIONS angstrom
Cl 2.616 1.510 1.072
Cl 7.848 4.531 3.209
Ba 0.000 0.000 0.000
Ag 5.232 3.021 2.140

=====

Entry 4:
! La2Ge4IrPd3, optimized geometry, DFT GGA-PBEsol; values from VASP
! total magnetic moment	0.00	μB/f.u.
! Fermi-level density of states	5.6	states/eV/f.u.
! space-group type	No. 99
! DFT formation energy	-0.88	eV/atom
&SYSTEM
  ibrav = 0, nat = 10, ntyp = 4
/
ATOMIC_SPECIES
Ir 192.22 Ir.upf
Ge 72.64 Ge.upf
Pd 106.42 Pd.upf
La 138.91 La.upf
CELL_PARAMETERS angstrom
4.356 0.000 0.000
0.000 4.356 0.000
0.000 0.000 9.916
ATOMIC_POSITIONS angstrom
Ir 2.178 2.178 6.181
Ge 2.178 0.000 4.974
Ge 0.000 0.000 1.266
Ge 2.178 2.178 8.607
Ge 0.000 2.178 4.974
Pd 0.000 2.178 9.915
Pd 2.178 0.000 9.915
Pd 0.000 0.000 3.729
La 2.178 2.178 2.550
La 0.000 0.000 7.386

=====

Entry 5:
! MgMo2Pt, optimized geometry, DFT GGA-PBEsol; values from VASP
! total magnetic moment	0.00	μB/f.u.
! Fermi-level density of states	2.1	states/eV/f.u.
! space-group type	No. 71
! DFT formation energy	-0.11	eV/atom
&SYSTEM
  ibrav = 0, nat = 4, ntyp = 3
/
ATOMIC_SPECIES
Pt 195.08 Pt.upf
Mo 95.94 Mo.upf
Mg 24.30 Mg.upf
CELL_PARAMETERS angstrom
-1.696 0.076 -3.011
3.204 -1.413 -1.841
-2.186 -3.490 3.127
ATOMIC_POSITIONS angstrom
Pt -0.848 0.038 -1.505
Mo -0.713 -2.072 0.349
Mo 0.036 -2.755 -2.074
Mg 1.602 -0.707 -0.920

=====

Entry 6:
! Nb6SnGe, optimized geometry, DFT GGA-PBEsol; values from VASP
! total magnetic moment	0.00	μB/f.u.
! Fermi-level density of states	12.6	states/eV/f.u.
! space-group type	No. 200
! DFT formation energy	-0.25	eV/atom
&SYSTEM
  ibrav = 0, nat = 8, ntyp = 3
/
ATOMIC_SPECIES
Nb 92.91 Nb.upf
Sn 118.71 Sn.upf
Ge 72.64 Ge.upf
CELL_PARAMETERS angstrom
5.201 0.000 0.000
0.000 5.201 0.000
0.000 0.000 5.201
ATOMIC_POSITIONS angstrom
Nb 0.000 2.600 3.866
Nb 2.600 1.335 0.000
Nb 0.000 2.600 1.335
Nb 1.335 0.000 2.600
Nb 2.600 3.866 0.000
Nb 3.866 0.000 2.600
Sn 0.000 0.000 0.000
Ge 2.600 2.600 2.600

=====

Entry 7:
! NbRhS2Cl, optimized geometry, DFT GGA-PBEsol; values from VASP
! total magnetic moment	1.70	μB/f.u.
! Fermi-level density of states	8.6	states/eV/f.u.
! space-group type	No. 123
! total energy	-5.649	eV/atom
&SYSTEM
  ibrav = 0, nat = 5, ntyp = 4
/
ATOMIC_SPECIES
Nb 92.91 Nb.upf
S 32.06 S.upf
Cl 35.45 Cl.upf
Rh 102.91 Rh.upf
CELL_PARAMETERS angstrom
-0.386 -4.666 0.271
4.700 -0.418 -0.504
0.526 0.230 4.710
ATOMIC_POSITIONS angstrom
Nb 0.000 0.000 0.000
S 2.350 -0.209 -0.252
S 0.263 0.115 2.355
Cl -0.193 -2.333 0.135
Rh 2.419 -2.427 2.238

=====

Entry 8:
! Sr2YCrCu2O8, optimized geometry, DFT GGA-PBEsol; values from VASP
! total magnetic moment	0.76	μB/f.u.
! Fermi-level density of states	4.3	states/eV/f.u.
! space-group type	No. 38
! total energy	-7.255	eV/atom
&SYSTEM
  ibrav = 0, nat = 14, ntyp = 5
/
ATOMIC_SPECIES
Cu 63.55 Cu.upf
O 16.00 O.upf
Sr 87.62 Sr.upf
Y 88.91 Y.upf
Cr 52.00 Cr.upf
CELL_PARAMETERS angstrom
-3.598 -0.744 -1.174
1.353 -1.752 -3.159
0.215 -9.447 5.331
ATOMIC_POSITIONS angstrom
Cu 0.174 -8.122 4.558
Cu 0.020 -1.348 0.735
O -2.054 -8.658 -0.728
O 0.728 -5.601 1.086
O -1.778 -1.625 0.096
O 0.694 -2.128 -0.895
O -1.656 -5.116 2.041
O 0.852 -9.090 3.034
O -1.619 -8.587 4.025
O -2.122 -5.670 -2.414
Sr -1.093 -4.271 -0.560
Sr -1.014 -7.759 1.408
Y -1.129 -1.255 -2.179
Cr -0.002 -4.845 2.455

=====

Entry 9:
! K3TcAs, optimized geometry, DFT GGA-PBEsol; values from VASP
! total magnetic moment	5.03	μB/f.u.
! Fermi-level density of states	6.7	states/eV/f.u.
! space-group type	No. 221
! DFT formation energy	1.17	eV/atom
&SYSTEM
  ibrav = 0, nat = 5, ntyp = 3
/
ATOMIC_SPECIES
As 74.92 As.upf
K 39.10 K.upf
Tc 98.00 Tc.upf
CELL_PARAMETERS angstrom
6.237 0.000 0.000
0.000 6.237 0.000
0.000 0.000 6.237
ATOMIC_POSITIONS angstrom
As 0.000 0.000 0.000
K 3.119 0.000 0.000
K 0.000 3.119 0.000
K 0.000 0.000 3.119
Tc 3.119 3.119 3.119

=====

Entry 10:
! LiCrAu3, optimized geometry, DFT GGA-PBEsol; values from VASP
! total magnetic moment	4.05	μB/f.u.
! Fermi-level density of states	1.1	states/eV/f.u.
! space-group type	No. 221
! DFT formation energy	0.47	eV/atom
&SYSTEM
  ibrav = 0, nat = 5, ntyp = 3
/
ATOMIC_SPECIES
Au 196.97 Au.upf
Cr 52.00 Cr.upf
Li 6.94 Li.upf
CELL_PARAMETERS angstrom
-0.348 0.688 -4.295
4.069 -1.473 -0.566
-1.539 -4.050 -0.525
ATOMIC_POSITIONS angstrom
Au -0.174 0.344 -2.148
Au -0.769 -2.025 -0.262
Au 2.034 -0.736 -0.283
Cr 1.091 -2.417 -2.693
Li 0.000 0.000 0.000

=====

Entry 11:
! Er2WO6, optimized geometry, DFT GGA-PBEsol; values from VASP
! total magnetic moment	0.00	μB/f.u.
! Fermi-level density of states	0.0	states/eV/f.u.
! energy relative to the lowest polymorph listed for this composition	0.023	eV per atom
! space-group type	No. 19
&SYSTEM
  ibrav = 0, nat = 36, ntyp = 3
/
ATOMIC_SPECIES
O 16.00 O.upf
W 183.84 W.upf
Er 167.26 Er.upf
CELL_PARAMETERS angstrom
-3.751 -0.288 -3.529
-6.047 -1.094 6.516
-1.212 9.666 0.498
ATOMIC_POSITIONS angstrom
O -6.774 2.185 1.926
O -6.239 1.578 5.034
O -7.924 4.032 3.689
O -7.590 8.760 1.705
O -2.266 1.512 -0.159
O -3.728 2.611 -2.448
O -6.277 7.275 -0.138
O -4.864 3.800 4.225
O -6.434 -1.023 5.046
O -2.934 7.162 0.231
O -7.378 6.191 2.099
O -6.702 5.595 5.341
O -9.278 6.493 4.218
O -4.134 5.144 -1.566
O -2.105 4.704 -0.041
O -8.308 -0.542 3.104
O -4.427 -0.149 -2.188
O -4.798 6.178 2.167
O -4.215 1.285 3.032
O -5.467 1.637 -0.395
O -5.890 4.126 0.260
O -5.840 8.269 3.531
O -3.738 3.695 1.901
O -4.804 8.883 1.244
W -0.364 1.466 -0.032
W -8.536 5.094 5.186
W -6.045 7.486 1.744
W -7.074 2.521 0.073
Er -2.607 5.738 1.994
Er -9.672 3.249 2.618
Er -6.228 0.303 3.132
Er -9.374 7.312 2.133
Er -2.514 -0.121 2.539
Er -6.094 4.354 2.494
Er -3.810 3.213 -0.290
Er -3.738 9.085 -0.681

=====

Entry 12:
! Sc3CuSe, optimized geometry, DFT GGA-PBEsol; values from VASP
! total magnetic moment	0.00	μB/f.u.
! Fermi-level density of states	7.5	states/eV/f.u.
! space-group type	No. 221
! total energy	-5.752	eV/atom
&SYSTEM
  ibrav = 0, nat = 5, ntyp = 3
/
ATOMIC_SPECIES
Se 78.96 Se.upf
Cu 63.55 Cu.upf
Sc 44.96 Sc.upf
CELL_PARAMETERS angstrom
-1.004 0.634 -4.744
3.693 -2.982 -1.179
-3.046 -3.824 0.133
ATOMIC_POSITIONS angstrom
Se 0.000 0.000 0.000
Cu -0.178 -3.086 -2.895
Sc -1.523 -1.912 0.067
Sc 1.846 -1.491 -0.590
Sc -0.502 0.317 -2.372